VASP calculation (PBE) on a relaxed CsRbSb crystal.

## Properties
The magnetic moment is 0.00 μB/cell. The density of states at the Fermi level is 8.1 states/eV/cell. As for the symmetry: P-3m1, No. 164. As for the energy above the most stable polymorph in this dataset: 22.0 meV per atom.

The structure in CIF format:
```
data_CsRbSb
_chemical_formula_sum 'Cs2 Rb2 Sb2'
_cell_length_a 6.179
_cell_length_b 6.181
_cell_length_c 9.147
_cell_angle_alpha 90.04
_cell_angle_beta 89.98
_cell_angle_gamma 119.98
_symmetry_space_group_name_H-M 'P 1'
_symmetry_Int_Tables_number 1
loop_
_symmetry_equiv_pos_as_xyz
'x,y,z'
loop_
_atom_site_label
_atom_site_fract_x
_atom_site_fract_y
_atom_site_fract_z
Rb1 0.167 0.333 0.060
Rb2 0.833 0.667 0.940
Cs1 0.167 0.333 0.633
Cs2 0.833 0.667 0.367
Sb1 0.500 0.000 0.165
Sb2 0.500 0.000 0.835
```



VASP calculation (PBE) on a relaxed La2HPb crystal.

## Properties
The value obtained for the energy is -0.1738 Ha/atom. The magnetic moment is 0.00 μB/cell. The density of states at the Fermi level is 12.0 states/eV/cell. As for the symmetry: C2/m, No. 12.

The structure in CIF format:
```
data_La2HPb
_chemical_formula_sum 'La8 H4 Pb4'
_cell_length_a 4.839
_cell_length_b 7.136
_cell_length_c 12.385
_cell_angle_alpha 104.64
_cell_angle_beta 90.00
_cell_angle_gamma 90.00
_symmetry_space_group_name_H-M 'P 1'
_symmetry_Int_Tables_number 1
loop_
_symmetry_equiv_pos_as_xyz
'x,y,z'
loop_
_atom_site_label
_atom_site_fract_x
_atom_site_fract_y
_atom_site_fract_z
Pb1 0.250 0.802 0.395
Pb2 0.750 0.198 0.605
Pb3 0.250 0.698 0.105
Pb4 0.750 0.302 0.895
La1 0.250 0.501 0.770
La2 0.250 0.185 0.050
La3 0.750 0.001 0.270
La4 0.750 0.685 0.550
La5 0.750 0.499 0.230
La6 0.750 0.815 0.950
La7 0.250 0.999 0.730
La8 0.250 0.315 0.450
H1 0.750 0.138 0.109
H2 0.750 0.362 0.391
H3 0.250 0.862 0.891
H4 0.250 0.638 0.609
```



VASP calculation (PBE) on a relaxed MgTe6O13 crystal.

## Properties
The value obtained for the energy is -0.2005 Ha/atom. The magnetic moment is 0.00 μB/cell. The density of states at the Fermi level is 0.0 states/eV/cell. As for the symmetry: R-3, No. 148.

The structure in CIF format:
```
data_MgTe6O13
_chemical_formula_sum 'Mg2 Te12 O26'
_cell_length_a 8.799
_cell_length_b 8.799
_cell_length_c 8.799
_cell_angle_alpha 71.92
_cell_angle_beta 71.92
_cell_angle_gamma 71.92
_symmetry_space_group_name_H-M 'P 1'
_symmetry_Int_Tables_number 1
loop_
_symmetry_equiv_pos_as_xyz
'x,y,z'
loop_
_atom_site_label
_atom_site_fract_x
_atom_site_fract_y
_atom_site_fract_z
O1 0.943 0.699 0.200
O2 0.057 0.301 0.800
O3 0.089 0.089 0.089
O4 0.398 0.083 0.099
O5 0.917 0.901 0.602
O6 0.701 0.386 0.625
O7 0.800 0.057 0.301
O8 0.454 0.119 0.363
O9 0.299 0.614 0.375
O10 0.637 0.546 0.881
O11 0.200 0.943 0.699
O12 0.119 0.363 0.454
O13 0.699 0.200 0.943
O14 0.301 0.800 0.057
O15 0.901 0.602 0.917
O16 0.386 0.625 0.701
O17 0.099 0.398 0.083
O18 0.614 0.375 0.299
O19 0.375 0.299 0.614
O20 0.911 0.911 0.911
O21 0.546 0.881 0.637
O22 0.363 0.454 0.119
O23 0.625 0.701 0.386
O24 0.881 0.637 0.546
O25 0.602 0.917 0.901
O26 0.083 0.099 0.398
Te1 0.422 0.824 0.532
Te2 0.578 0.176 0.468
Te3 0.176 0.468 0.578
Te4 0.334 0.011 0.942
Te5 0.942 0.334 0.011
Te6 0.468 0.578 0.176
Te7 0.666 0.989 0.058
Te8 0.058 0.666 0.989
Te9 0.824 0.532 0.422
Te10 0.989 0.058 0.666
Te11 0.532 0.422 0.824
Te12 0.011 0.942 0.334
Mg1 0.256 0.256 0.256
Mg2 0.744 0.744 0.744
```



VASP calculation (PBE) on a relaxed TbY8Er3 crystal.

## Properties
The magnetic moment is 0.00 μB/cell. The density of states at the Fermi level is 26.3 states/eV/cell. As for the symmetry: Cmmm, No. 65. The calculation puts the formation energy at 0.196 eV per atom.

The structure in CIF format:
```
data_TbY8Er3
_chemical_formula_sum 'Tb1 Y8 Er3'
_cell_length_a 6.943
_cell_length_b 11.962
_cell_length_c 9.870
_cell_angle_alpha 145.63
_cell_angle_beta 89.99
_cell_angle_gamma 106.89
_symmetry_space_group_name_H-M 'P 1'
_symmetry_Int_Tables_number 1
loop_
_symmetry_equiv_pos_as_xyz
'x,y,z'
loop_
_atom_site_label
_atom_site_fract_x
_atom_site_fract_y
_atom_site_fract_z
Y1 0.749 0.498 0.310
Y2 0.750 0.000 0.687
Y3 0.251 0.502 0.314
Y4 0.750 0.000 0.313
Y5 0.250 0.000 0.313
Y6 0.749 0.498 0.686
Y7 0.251 0.502 0.690
Y8 0.250 0.000 0.687
Tb1 0.000 0.000 0.000
Er1 0.500 0.500 0.000
Er2 0.500 0.000 0.000
Er3 0.000 0.500 0.000
```



VASP calculation (PBE) on a relaxed TcPIr crystal.

## Properties
The magnetic moment is 0.00 μB/cell. The density of states at the Fermi level is 5.8 states/eV/cell. As for the symmetry: Cm, No. 8. The calculation puts the formation energy at -0.360 eV per atom. As for the energy above the most stable polymorph in this dataset: 0.0 meV per atom.

The structure in CIF format:
```
data_TcPIr
_chemical_formula_sum 'Tc4 P4 Ir4'
_cell_length_a 4.660
_cell_length_b 2.877
_cell_length_c 12.754
_cell_angle_alpha 90.00
_cell_angle_beta 91.09
_cell_angle_gamma 90.00
_symmetry_space_group_name_H-M 'P 1'
_symmetry_Int_Tables_number 1
loop_
_symmetry_equiv_pos_as_xyz
'x,y,z'
loop_
_atom_site_label
_atom_site_fract_x
_atom_site_fract_y
_atom_site_fract_z
Ir1 0.235 0.000 0.902
Ir2 0.027 0.000 0.689
Ir3 0.235 0.500 0.402
Ir4 0.027 0.500 0.189
P1 0.336 0.500 0.050
P2 0.749 0.000 0.853
P3 0.749 0.500 0.353
P4 0.336 0.000 0.550
Tc1 0.741 0.500 0.540
Tc2 0.525 0.000 0.234
Tc3 0.741 0.000 0.040
Tc4 0.525 0.500 0.734
```



VASP calculation (PBE) on a relaxed Ag2GeSbRh crystal.

## Properties
The value obtained for the energy is -0.1415 Ha/atom. The magnetic moment is 0.00 μB/cell. The density of states at the Fermi level is 4.2 states/eV/cell. As for the symmetry: P4/mmm, No. 123.

The structure in CIF format:
```
data_Ag2GeSbRh
_chemical_formula_sum 'Ag2 Ge1 Sb1 Rh1'
_cell_length_a 5.142
_cell_length_b 4.532
_cell_length_c 5.142
_cell_angle_alpha 90.00
_cell_angle_beta 90.00
_cell_angle_gamma 90.00
_symmetry_space_group_name_H-M 'P 1'
_symmetry_Int_Tables_number 1
loop_
_symmetry_equiv_pos_as_xyz
'x,y,z'
loop_
_atom_site_label
_atom_site_fract_x
_atom_site_fract_y
_atom_site_fract_z
Ge1 0.000 0.500 0.000
Rh1 0.000 0.000 0.000
Ag1 0.500 0.000 0.000
Ag2 0.000 0.000 0.500
Sb1 0.500 0.500 0.500
```



VASP calculation (PBE) on a relaxed TbEr2Sn crystal.

## Properties
The magnetic moment is 0.00 μB/cell. The density of states at the Fermi level is 8.7 states/eV/cell. As for the symmetry: P2_1/m, No. 11. The calculation puts the formation energy at -0.406 eV per atom. As for the energy above the most stable polymorph in this dataset: 3.3 meV per atom.

The structure in CIF format:
```
data_TbEr2Sn
_chemical_formula_sum 'Tb2 Er4 Sn2'
_cell_length_a 4.638
_cell_length_b 4.577
_cell_length_c 11.364
_cell_angle_alpha 101.61
_cell_angle_beta 90.00
_cell_angle_gamma 90.00
_symmetry_space_group_name_H-M 'P 1'
_symmetry_Int_Tables_number 1
loop_
_symmetry_equiv_pos_as_xyz
'x,y,z'
loop_
_atom_site_label
_atom_site_fract_x
_atom_site_fract_y
_atom_site_fract_z
Tb1 0.250 0.308 0.615
Tb2 0.750 0.692 0.385
Er1 0.250 0.560 0.119
Er2 0.250 0.936 0.873
Er3 0.750 0.064 0.127
Er4 0.750 0.440 0.881
Sn1 0.250 0.165 0.331
Sn2 0.750 0.835 0.669
```



VASP calculation (PBE) on a relaxed RbYBe2F8 crystal.

## Properties
The value obtained for the energy is -0.2196 Ha/atom. The magnetic moment is 0.17 μB/cell. The density of states at the Fermi level is 0.0 states/eV/cell. As for the symmetry: C2/m, No. 12.

The structure in CIF format:
```
data_RbYBe2F8
_chemical_formula_sum 'Rb1 Y1 Be2 F8'
_cell_length_a 5.111
_cell_length_b 5.111
_cell_length_c 8.468
_cell_angle_alpha 86.28
_cell_angle_beta 86.28
_cell_angle_gamma 65.71
_symmetry_space_group_name_H-M 'P 1'
_symmetry_Int_Tables_number 1
loop_
_symmetry_equiv_pos_as_xyz
'x,y,z'
loop_
_atom_site_label
_atom_site_fract_x
_atom_site_fract_y
_atom_site_fract_z
F1 0.289 0.754 0.190
F2 0.313 0.313 0.621
F3 0.687 0.687 0.379
F4 0.711 0.246 0.810
F5 0.246 0.711 0.810
F6 0.249 0.249 0.928
F7 0.754 0.289 0.190
F8 0.751 0.751 0.072
Rb1 0.000 0.000 0.500
Be1 0.376 0.376 0.780
Be2 0.624 0.624 0.220
Y1 0.000 0.000 0.000
```



VASP calculation (PBE) on a relaxed Tl3In crystal.

## Properties
The magnetic moment is 0.00 μB/cell. The density of states at the Fermi level is 1.6 states/eV/cell. As for the symmetry: C2/m, No. 12. The calculation puts the formation energy at 0.020 eV per atom.

The structure in CIF format:
```
data_Tl3In
_chemical_formula_sum 'Tl3 In1'
_cell_length_a 5.922
_cell_length_b 5.922
_cell_length_c 6.243
_cell_angle_alpha 82.12
_cell_angle_beta 82.12
_cell_angle_gamma 33.27
_symmetry_space_group_name_H-M 'P 1'
_symmetry_Int_Tables_number 1
loop_
_symmetry_equiv_pos_as_xyz
'x,y,z'
loop_
_atom_site_label
_atom_site_fract_x
_atom_site_fract_y
_atom_site_fract_z
Tl1 0.500 0.500 0.500
Tl2 0.747 0.747 0.755
Tl3 0.253 0.253 0.245
In1 0.000 0.000 0.000
```



VASP calculation (PBE) on a relaxed SiNiAgN2 crystal.

## Properties
The value obtained for the energy is -0.1759 Ha/atom. The magnetic moment is 2.68 μB/cell. The density of states at the Fermi level is 2.1 states/eV/cell. As for the symmetry: P4/mmm, No. 123.

The structure in CIF format:
```
data_SiNiAgN2
_chemical_formula_sum 'Si1 Ni1 Ag1 N2'
_cell_length_a 3.662
_cell_length_b 5.248
_cell_length_c 3.662
_cell_angle_alpha 90.00
_cell_angle_beta 90.00
_cell_angle_gamma 90.00
_symmetry_space_group_name_H-M 'P 1'
_symmetry_Int_Tables_number 1
loop_
_symmetry_equiv_pos_as_xyz
'x,y,z'
loop_
_atom_site_label
_atom_site_fract_x
_atom_site_fract_y
_atom_site_fract_z
Ni1 0.000 0.000 0.000
N1 0.000 0.000 0.500
N2 0.500 0.000 0.000
Si1 0.500 0.500 0.500
Ag1 0.000 0.500 0.000
```